<1>
ZnCuRu | meta-GGA SCAN | single point on PBEsol structure

Cell lengths 4.043, 4.043, 4.043 Å; angles 60.00, 60.00, 60.00 degrees
Fractional positions:
Cu: 0.500 0.500 0.500
Zn: 0.000 0.000 0.000
Ru: 0.250 0.250 0.250

mass density = 8.17 g/cm³

***

<2>
ZnCuRu | meta-GGA SCAN | single point on PBEsol structure

Cell lengths 2.575, 2.575, 6.534 Å; angles 96.68, 96.68, 114.18 degrees
Fractional positions:
Ru: 0.666 0.666 0.332
Zn: 0.337 0.337 0.673
Cu: 0.997 0.997 0.995

mass density = 9.89 g/cm³

***

Ranking the structures above by energy, <2> is first and the second is 51.0 kJ/mol of atoms behind.